[1]
Computed, not measured: a relaxed structure of Ca3SbW at the GGA-PBE level of DFT.

Results
**Polymorph energy (0 for the lowest one)**: 0 meV/atom
**E_form (uncorrected)**: 0.81 eV per atom
**Total moment**: 0.000 μB/cell
**SG**: Pm-3m (221)

Cell: 5.458 5.458 5.458 Å, 90.00 90.00 90.00°
Sites, in units of the cell vectors:
Ca1 0.000 0.000 0.500
Ca2 0.000 0.500 0.000
Ca3 0.500 0.000 0.000
Sb1 0.500 0.500 0.500
W1 0.000 0.000 0.000

[2]
Computed, not measured: a relaxed structure of Tm12Ge3C5 at the GGA-PBE level of DFT.

Results
**DFT formation energy**: -0.393 eV/atom
**Total moment**: 0.000 μB/cell
**SG**: Ia-3d (230)

Cell: 13.227 13.227 13.227 Å, 109.47 109.47 109.47°
Sites, in units of the cell vectors:
Tm1 0.024 0.205 0.119
Tm2 0.024 0.319 0.905
Tm3 0.086 0.705 0.681
Tm4 0.086 0.881 0.405
Tm5 0.095 0.619 0.414
Tm6 0.095 0.976 0.681
Tm7 0.119 0.024 0.205
Tm8 0.119 0.595 0.914
Tm9 0.181 0.205 0.586
Tm10 0.181 0.476 0.595
Tm11 0.205 0.119 0.024
Tm12 0.205 0.586 0.181
Tm13 0.295 0.319 0.914
Tm14 0.295 0.476 0.381
Tm15 0.319 0.905 0.024
Tm16 0.319 0.914 0.295
Tm17 0.381 0.295 0.476
Tm18 0.381 0.586 0.905
Tm19 0.405 0.086 0.881
Tm20 0.405 0.819 0.524
Tm21 0.414 0.095 0.619
Tm22 0.414 0.819 0.795
Tm23 0.476 0.381 0.295
Tm24 0.476 0.595 0.181
Tm25 0.524 0.405 0.819
Tm26 0.524 0.619 0.705
Tm27 0.586 0.181 0.205
Tm28 0.586 0.905 0.381
Tm29 0.595 0.181 0.476
Tm30 0.595 0.914 0.119
Tm31 0.619 0.414 0.095
Tm32 0.619 0.705 0.524
Tm33 0.681 0.086 0.705
Tm34 0.681 0.095 0.976
Tm35 0.705 0.524 0.619
Tm36 0.705 0.681 0.086
Tm37 0.795 0.414 0.819
Tm38 0.795 0.881 0.976
Tm39 0.819 0.524 0.405
Tm40 0.819 0.795 0.414
Tm41 0.881 0.405 0.086
Tm42 0.881 0.976 0.795
Tm43 0.905 0.024 0.319
Tm44 0.905 0.381 0.586
Tm45 0.914 0.119 0.595
Tm46 0.914 0.295 0.319
Tm47 0.976 0.681 0.095
Tm48 0.976 0.795 0.881
Ge1 0.125 0.250 0.375
Ge2 0.125 0.375 0.750
Ge3 0.250 0.375 0.125
Ge4 0.250 0.875 0.625
Ge5 0.375 0.125 0.250
Ge6 0.375 0.750 0.125
Ge7 0.625 0.250 0.875
Ge8 0.625 0.875 0.750
Ge9 0.750 0.125 0.375
Ge10 0.750 0.625 0.875
Ge11 0.875 0.625 0.250
Ge12 0.875 0.750 0.625
C1 0.000 0.000 0.000
C2 0.000 0.000 0.500
C3 0.000 0.500 0.000
C4 0.000 0.500 0.500
C5 0.125 0.750 0.875
C6 0.125 0.875 0.250
C7 0.250 0.125 0.875
C8 0.250 0.625 0.375
C9 0.375 0.250 0.625
C10 0.375 0.625 0.750
C11 0.500 0.000 0.000
C12 0.500 0.000 0.500
C13 0.500 0.500 0.000
C14 0.500 0.500 0.500
C15 0.625 0.375 0.250
C16 0.625 0.750 0.375
C17 0.750 0.375 0.625
C18 0.750 0.875 0.125
C19 0.875 0.125 0.750
C20 0.875 0.250 0.125

[3]
Computed, not measured: a relaxed structure of ScVBiC2 at the GGA-PBE level of DFT.

Results
**Polymorph energy (0 for the lowest one)**: 0 meV/atom
**DFT formation energy**: 1.224 eV/atom
**Total moment**: 0.000 μB/cell
**SG**: P4/mmm (123)

Cell: 4.059 4.059 5.285 Å, 90.00 90.00 90.00°
Sites, in units of the cell vectors:
Sc1 0.000 0.000 0.000
V1 0.000 0.000 0.500
Bi1 0.500 0.500 0.000
C1 0.000 0.500 0.500
C2 0.500 0.000 0.500

[4]
Computed, not measured: a relaxed structure of BaAgIr2 at the GGA-PBE level of DFT.

Results
**Polymorph energy (0 for the lowest one)**: 709 meV/atom
**DFT formation energy**: 0.698 eV/atom
**Total moment**: 0.874 μB/cell
**SG**: P4/mmm (123)

Cell: 4.223 4.223 4.657 Å, 90.00 90.00 90.00°
Sites, in units of the cell vectors:
Ba1 0.000 0.000 0.000
Ag1 0.500 0.500 0.000
Ir1 0.000 0.500 0.500
Ir2 0.500 0.000 0.500

[5]
Computed, not measured: a relaxed structure of Li2CoNi at the GGA-PBE level of DFT.

Results
**Polymorph energy (0 for the lowest one)**: 53 meV/atom
**DFT formation energy**: 0.079 eV/atom
**Total moment**: 1.394 μB/cell
**SG**: P2/m (10)

Cell: 2.432 4.298 4.399 Å, 90.00 93.23 90.00°
Sites, in units of the cell vectors:
Li1 0.246 0.000 0.250
Li2 0.754 0.000 0.750
Co1 0.500 0.500 0.000
Ni1 0.000 0.500 0.500

[6]
Computed, not measured: a relaxed structure of CuP2OsCl at the GGA-PBE level of DFT.

Results
**Polymorph energy (0 for the lowest one)**: 0 meV/atom
**E_form (uncorrected)**: 0.73 eV per atom
**Total moment**: 0.000 μB/cell
**SG**: P4/mmm (123)

Cell: 4.500 4.500 5.162 Å, 90.00 90.00 90.00°
Sites, in units of the cell vectors:
Cu1 0.000 0.000 0.000
P1 0.000 0.500 0.500
P2 0.500 0.000 0.500
Os1 0.500 0.500 0.500
Cl1 0.500 0.500 0.000

[7]
Computed, not measured: a relaxed structure of BiW3I at the GGA-PBE level of DFT.

Results
**Polymorph energy (0 for the lowest one)**: 0 meV/atom
**E_form (uncorrected)**: 2.63 eV per atom
**Total moment**: 0.000 μB/cell
**SG**: Pm-3m (221)

Cell: 4.946 4.946 4.946 Å, 90.00 90.00 90.00°
Sites, in units of the cell vectors:
Bi1 0.000 0.000 0.000
W1 0.000 0.500 0.500
W2 0.500 0.000 0.500
W3 0.500 0.500 0.000
I1 0.500 0.500 0.500

[8]
Computed, not measured: a relaxed structure of SrBe4I3O12 at the GGA-PBE level of DFT.

Results
**E_form (uncorrected)**: -1.30 eV per atom
**Total moment**: 0.000 μB/cell
**SG**: R32 (155)

Cell: 6.641 6.641 6.641 Å, 103.44 103.44 103.44°
Sites, in units of the cell vectors:
Sr1 0.000 0.000 0.000
Be1 0.060 0.500 0.940
Be2 0.500 0.500 0.500
Be3 0.500 0.940 0.060
Be4 0.940 0.060 0.500
I1 0.000 0.548 0.452
I2 0.452 0.000 0.548
I3 0.548 0.452 0.000
O1 0.036 0.628 0.773
O2 0.088 0.912 0.500
O3 0.227 0.372 0.964
O4 0.352 0.648 0.500
O5 0.372 0.964 0.227
O6 0.500 0.088 0.912
O7 0.500 0.352 0.648
O8 0.628 0.773 0.036
O9 0.648 0.500 0.352
O10 0.773 0.036 0.628
O11 0.912 0.500 0.088
O12 0.964 0.227 0.372